Below is a relaxed structure of DyCo2SbO6, with properties calculated at the PBE with a Hubbard U level.

* final energy: -6.4461 eV per atom
* total magnetization: 0.02 μB/cell
* V: 325 Å³/cell

abc: 5.3944 5.3944 12.8923
angles: 90.00 90.00 120.00
Space group R3 (No. 146, hexagonal axes)
Symmetry-distinct sites (fractional):
Dy: 0.0000 0.0000 0.0000 [3 per cell]
Co: 0.0000 0.0000 0.2643 [3 per cell]
Co: 0.0000 0.0000 0.7667 [3 per cell]
Sb: 0.0000 0.0000 0.4885 [3 per cell]
O: 0.0117 0.4185 0.5219 [9 per cell]
O: 0.0267 0.6009 0.0290 [9 per cell]